Entry 1:
Here is crystalline ThZn6Pd6 at its relaxed geometry from Alexandria via LeMat-Bulk. Energies are from PBE.

```
ThZn6Pd6
1.0
-2.636 4.426 4.451
2.636 -4.426 4.451
2.636 4.426 -4.451
Th Zn Pd
1 6 6
direct
0.000 0.000 0.000 Th
0.000 0.000 0.500 Zn
0.000 0.500 0.000 Zn
0.244 0.744 0.500 Zn
0.500 0.000 0.000 Zn
0.500 0.500 0.500 Zn
0.756 0.256 0.500 Zn
0.183 0.500 0.683 Pd
0.338 0.000 0.338 Pd
0.342 0.342 0.000 Pd
0.658 0.658 0.000 Pd
0.662 0.000 0.662 Pd
0.817 0.500 0.317 Pd
```

Results
Spin magnetization ... 0.0 μB/cell
Crystal system ... orthorhombic
E_form ... -7.15 eV per formula unit
ρ ... 10.1 Mg/m³
Volume ... 16.0 Å³/atom
SG ... Immm

***

Entry 2:
Here is crystalline ThZn4Pd8 at its relaxed geometry from Alexandria via LeMat-Bulk. Energies are from PBE.

```
ThZn4Pd8
1.0
-4.428 4.428 2.679
4.428 -4.428 2.679
4.428 4.428 -2.679
Th Zn Pd
1 4 8
direct
0.000 0.000 0.000 Th
0.000 0.000 0.500 Zn
0.000 0.500 0.000 Zn
0.500 0.000 0.000 Zn
0.500 0.500 0.500 Zn
0.000 0.337 0.337 Pd
0.000 0.663 0.663 Pd
0.277 0.500 0.777 Pd
0.337 0.000 0.337 Pd
0.500 0.277 0.777 Pd
0.500 0.723 0.223 Pd
0.663 0.000 0.663 Pd
0.723 0.500 0.223 Pd
```

Results
Spin magnetization ... 0.0 μB/cell
Crystal system ... tetragonal
E_form ... -7.69 eV per formula unit
ρ ... 10.6 Mg/m³
Volume ... 16.2 Å³/atom
SG ... I4/mmm

***

Entry 3:
Here is crystalline ThZnPd at its relaxed geometry from Alexandria via LeMat-Bulk. Energies are from PBE.

```
ThZnPd
1.0
4.579 0.000 0.000
-2.290 3.966 0.000
0.000 0.000 3.517
Th Zn Pd
1 1 1
direct
0.000 0.000 0.000 Th
0.333 0.667 0.500 Zn
0.667 0.333 0.500 Pd
```

Results
Spin magnetization ... 0.0 μB/cell
Crystal system ... hexagonal
E_form ... -1.86 eV per formula unit
ρ ... 10.5 Mg/m³
Volume ... 21.3 Å³/atom
SG ... P-6m2

***

Entry 4:
Here is crystalline Th2Zn12Pd5 at its relaxed geometry from Alexandria via LeMat-Bulk. Energies are from PBE.

```
Th2Zn12Pd5
1.0
4.598 2.654 4.380
-4.598 2.654 4.380
0.000 -5.309 4.380
Th Zn Pd
2 12 5
direct
0.173 0.173 0.173 Th
0.827 0.827 0.827 Th
0.150 0.150 0.660 Zn
0.150 0.660 0.150 Zn
0.212 0.500 0.788 Zn
0.212 0.788 0.500 Zn
0.340 0.850 0.850 Zn
0.500 0.212 0.788 Zn
0.500 0.788 0.212 Zn
0.660 0.150 0.150 Zn
0.788 0.212 0.500 Zn
0.788 0.500 0.212 Zn
0.850 0.340 0.850 Zn
0.850 0.850 0.340 Zn
0.000 0.500 0.500 Pd
0.393 0.393 0.393 Pd
0.500 0.000 0.500 Pd
0.500 0.500 0.000 Pd
0.607 0.607 0.607 Pd
```

Results
Spin magnetization ... 0.0 μB/cell
Crystal system ... trigonal
E_form ... -7.67 eV per formula unit
ρ ... 9.2 Mg/m³
Volume ... 16.9 Å³/atom
SG ... R-3m

***

Entry 5:
Here is crystalline ThZnPd3 at its relaxed geometry from Alexandria via LeMat-Bulk. Energies are from PBE.

```
ThZnPd3
1.0
8.538 -2.206 0.000
8.538 2.206 0.000
-0.315 0.000 5.299
Th Zn Pd
2 2 6
direct
0.108 0.108 0.418 Th
0.892 0.892 0.582 Th
0.368 0.368 0.018 Zn
0.632 0.632 0.982 Zn
0.208 0.208 0.906 Pd
0.285 0.285 0.410 Pd
0.494 0.494 0.747 Pd
0.506 0.506 0.253 Pd
0.715 0.715 0.590 Pd
0.792 0.792 0.094 Pd
```

Results
Spin magnetization ... 0.0 μB/cell
Crystal system ... monoclinic
E_form ... -2.86 eV per formula unit
ρ ... 10.3 Mg/m³
Volume ... 20.0 Å³/atom
SG ... C2/m

***

Entry 6:
Here is crystalline Th2ZnPd8 at its relaxed geometry from Alexandria via LeMat-Bulk. Energies are from PBE.

```
Th2ZnPd8
1.0
-2.378 3.029 7.051
2.378 -3.029 7.051
2.378 3.029 -7.051
Th Zn Pd
2 1 8
direct
0.182 0.182 0.000 Th
0.818 0.818 0.000 Th
0.500 0.500 0.000 Zn
0.108 0.365 0.742 Pd
0.258 0.000 0.258 Pd
0.319 0.819 0.500 Pd
0.377 0.635 0.742 Pd
0.623 0.365 0.258 Pd
0.681 0.181 0.500 Pd
0.742 0.000 0.742 Pd
0.892 0.635 0.258 Pd
```

Results
Spin magnetization ... 0.0 μB/cell
Crystal system ... orthorhombic
E_form ... -7.26 eV per formula unit
ρ ... 11.3 Mg/m³
Volume ... 18.5 Å³/atom
SG ... Immm

***

Entry 7:
Here is crystalline Th3Zn4Pd4 at its relaxed geometry from Alexandria via LeMat-Bulk. Energies are from PBE.

```
Th3Zn4Pd4
1.0
-2.082 3.721 7.168
2.082 -3.721 7.168
2.082 3.721 -7.168
Th Zn Pd
3 4 4
direct
0.000 0.000 0.000 Th
0.372 0.872 0.500 Th
0.628 0.128 0.500 Th
0.019 0.327 0.693 Zn
0.366 0.673 0.693 Zn
0.634 0.327 0.307 Zn
0.981 0.673 0.307 Zn
0.218 0.218 0.000 Pd
0.303 0.500 0.803 Pd
0.697 0.500 0.197 Pd
0.782 0.782 0.000 Pd
```

Results
Offset from the most stable computed form ... 0.0 meV/atom
Spin magnetization ... 0.0 μB/cell
Crystal system ... orthorhombic
E_form ... -7.15 eV per formula unit
ρ ... 10.3 Mg/m³
Volume ... 20.2 Å³/atom
SG ... Immm

***

Entry 8:
Here is crystalline Th3Zn4Pd4 at its relaxed geometry from Alexandria via LeMat-Bulk. Energies are from PBE.

```
Th3Zn4Pd4
1.0
3.721 0.000 0.000
0.004 4.291 0.000
1.853 2.110 14.166
Th Zn Pd
3 4 4
direct
0.000 0.000 0.000 Th
0.147 0.647 0.707 Th
0.853 0.353 0.293 Th
0.253 0.254 0.493 Zn
0.403 0.903 0.192 Zn
0.597 0.097 0.808 Zn
0.747 0.746 0.507 Zn
0.312 0.812 0.375 Pd
0.451 0.450 0.097 Pd
0.549 0.550 0.903 Pd
0.688 0.188 0.625 Pd
```

Results
Offset from the most stable computed form ... 45.9 meV/atom
Spin magnetization ... 0.0 μB/cell
Crystal system ... triclinic
E_form ... -6.64 eV per formula unit
ρ ... 10.2 Mg/m³
Volume ... 20.6 Å³/atom
SG ... P-1

***

Entry 9:
Here is crystalline Th3ZnPd12 at its relaxed geometry from Alexandria via LeMat-Bulk. Energies are from PBE.

```
Th3ZnPd12
1.0
4.191 0.000 0.000
0.000 4.191 0.000
0.000 0.000 16.236
Th Zn Pd
3 1 12
direct
0.000 0.000 0.000 Th
0.000 0.000 0.265 Th
0.000 0.000 0.735 Th
0.000 0.000 0.500 Zn
0.000 0.500 0.129 Pd
0.000 0.500 0.387 Pd
0.000 0.500 0.613 Pd
0.000 0.500 0.871 Pd
0.500 0.000 0.129 Pd
0.500 0.000 0.387 Pd
0.500 0.000 0.613 Pd
0.500 0.000 0.871 Pd
0.500 0.500 0.000 Pd
0.500 0.500 0.257 Pd
0.500 0.500 0.500 Pd
0.500 0.500 0.743 Pd
```

Results
Spin magnetization ... 0.0 μB/cell
Crystal system ... tetragonal
E_form ... -13.07 eV per formula unit
ρ ... 11.9 Mg/m³
Volume ... 17.8 Å³/atom
SG ... P4/mmm

***

Entry 10:
Here is crystalline ThZn3Pd3 at its relaxed geometry from Alexandria via LeMat-Bulk. Energies are from PBE.

```
ThZn3Pd3
1.0
3.366 1.943 6.476
-3.366 1.943 6.476
0.000 -3.887 6.476
Th Zn Pd
2 6 6
direct
0.157 0.157 0.157 Th
0.843 0.843 0.843 Th
0.080 0.248 0.577 Zn
0.248 0.577 0.080 Zn
0.423 0.920 0.752 Zn
0.577 0.080 0.248 Zn
0.752 0.423 0.920 Zn
0.920 0.752 0.423 Zn
0.196 0.433 0.678 Pd
0.322 0.804 0.567 Pd
0.433 0.678 0.196 Pd
0.567 0.322 0.804 Pd
0.678 0.196 0.433 Pd
0.804 0.567 0.322 Pd
```

Results
Spin magnetization ... 0.0 μB/cell
Crystal system ... trigonal
E_form ... -3.66 eV per formula unit
ρ ... 9.8 Mg/m³
Volume ... 18.2 Å³/atom
SG ... R-3

***

Entry 11:
Here is crystalline Th2Zn3Pd4 at its relaxed geometry from Alexandria via LeMat-Bulk. Energies are from PBE.

```
Th2Zn3Pd4
1.0
2.812 -7.983 0.000
2.812 7.983 0.000
0.000 0.000 7.595
Th Zn Pd
4 6 8
direct
0.114 0.886 0.923 Th
0.386 0.614 0.423 Th
0.614 0.386 0.577 Th
0.886 0.114 0.077 Th
0.000 0.000 0.500 Zn
0.023 0.477 0.750 Zn
0.477 0.023 0.250 Zn
0.500 0.500 0.000 Zn
0.523 0.977 0.750 Zn
0.977 0.523 0.250 Zn
0.176 0.824 0.527 Pd
0.188 0.312 0.750 Pd
0.312 0.188 0.250 Pd
0.324 0.676 0.027 Pd
0.676 0.324 0.973 Pd
0.688 0.812 0.750 Pd
0.812 0.688 0.250 Pd
0.824 0.176 0.473 Pd
```

Results
Spin magnetization ... 0.0 μB/cell
Crystal system ... orthorhombic
E_form ... -5.95 eV per formula unit
ρ ... 10.6 Mg/m³
Volume ... 18.9 Å³/atom
SG ... Cmce

***

Entry 12:
Here is crystalline ThZn6Pd4 at its relaxed geometry from Alexandria via LeMat-Bulk. Energies are from PBE.

```
ThZn6Pd4
1.0
7.265 0.000 0.000
-3.633 6.292 0.000
0.000 0.000 4.116
Th Zn Pd
1 6 4
direct
0.000 0.000 0.000 Th
0.205 0.410 0.500 Zn
0.205 0.795 0.500 Zn
0.537 0.075 0.000 Zn
0.537 0.463 0.000 Zn
0.590 0.795 0.500 Zn
0.925 0.463 0.000 Zn
0.333 0.667 0.000 Pd
0.396 0.198 0.500 Pd
0.802 0.198 0.500 Pd
0.802 0.604 0.500 Pd
```

Results
Spin magnetization ... 0.0 μB/cell
Crystal system ... hexagonal
E_form ... -4.99 eV per formula unit
ρ ... 9.3 Mg/m³
Volume ... 17.1 Å³/atom
SG ... P-6m2

***

Entry 13:
Here is crystalline ThZnPd at its relaxed geometry from Alexandria via LeMat-Bulk. Energies are from PBE.

```
ThZnPd
1.0
3.435 0.000 0.000
0.000 3.435 0.000
0.000 0.000 10.557
Th Zn Pd
2 2 2
direct
0.000 0.000 0.000 Th
0.500 0.500 0.500 Th
0.000 0.000 0.303 Zn
0.500 0.500 0.803 Zn
0.000 0.000 0.691 Pd
0.500 0.500 0.191 Pd
```

Results
Spin magnetization ... 0.0 μB/cell
Crystal system ... tetragonal
E_form ... -1.40 eV per formula unit
ρ ... 10.8 Mg/m³
Volume ... 20.8 Å³/atom
SG ... I4mm

***

Entry 14:
Here is crystalline ThZn4Pd2 at its relaxed geometry from Alexandria via LeMat-Bulk. Energies are from PBE.

```
ThZn4Pd2
1.0
4.068 0.000 0.000
0.000 15.542 0.000
0.000 0.000 4.010
Th Zn Pd
2 8 4
direct
0.000 0.000 0.000 Th
0.500 0.500 0.000 Th
0.000 0.190 0.500 Zn
0.000 0.309 0.000 Zn
0.000 0.691 0.000 Zn
0.000 0.810 0.500 Zn
0.500 0.191 0.000 Zn
0.500 0.310 0.500 Zn
0.500 0.690 0.500 Zn
0.500 0.809 0.000 Zn
0.000 0.414 0.500 Pd
0.000 0.586 0.500 Pd
0.500 0.086 0.500 Pd
0.500 0.914 0.500 Pd
```

Results
Offset from the most stable computed form ... 78.0 meV/atom
Spin magnetization ... 0.0 μB/cell
Crystal system ... orthorhombic
E_form ... -3.08 eV per formula unit
ρ ... 9.3 Mg/m³
Volume ... 18.1 Å³/atom
SG ... Cmmm

***

Entry 15:
Here is crystalline ThZn2Pd9 at its relaxed geometry from Alexandria via LeMat-Bulk. Energies are from PBE.

```
ThZn2Pd9
1.0
4.165 0.000 0.000
0.000 4.165 0.000
0.000 0.000 11.282
Th Zn Pd
1 2 9
direct
0.000 0.000 0.000 Th
0.000 0.000 0.348 Zn
0.000 0.000 0.652 Zn
0.000 0.500 0.185 Pd
0.000 0.500 0.500 Pd
0.000 0.500 0.815 Pd
0.500 0.000 0.185 Pd
0.500 0.000 0.500 Pd
0.500 0.000 0.815 Pd
0.500 0.500 0.000 Pd
0.500 0.500 0.343 Pd
0.500 0.500 0.657 Pd
```

Results
Spin magnetization ... 0.0 μB/cell
Crystal system ... tetragonal
E_form ... -6.22 eV per formula unit
ρ ... 11.2 Mg/m³
Volume ... 16.3 Å³/atom
SG ... P4/mmm

***

Entry 16:
Here is crystalline ThZn4Pd2 at its relaxed geometry from Alexandria via LeMat-Bulk. Energies are from PBE.

```
ThZn4Pd2
1.0
7.618 0.000 0.000
0.000 7.618 0.000
0.000 0.000 4.255
Th Zn Pd
2 8 4
direct
0.000 0.000 0.000 Th
0.500 0.500 0.500 Th
0.092 0.350 0.500 Zn
0.150 0.592 0.000 Zn
0.350 0.092 0.500 Zn
0.408 0.850 0.000 Zn
0.592 0.150 0.000 Zn
0.650 0.908 0.500 Zn
0.850 0.408 0.000 Zn
0.908 0.650 0.500 Zn
0.221 0.779 0.500 Pd
0.279 0.279 0.000 Pd
0.721 0.721 0.000 Pd
0.779 0.221 0.500 Pd
```

Results
Offset from the most stable computed form ... 0.0 meV/atom
Spin magnetization ... 0.0 μB/cell
Crystal system ... tetragonal
E_form ... -3.63 eV per formula unit
ρ ... 9.5 Mg/m³
Volume ... 17.6 Å³/atom
SG ... P4_2/mnm

***

Entry 17:
Here is crystalline ThZn3Pd at its relaxed geometry from Alexandria via LeMat-Bulk. Energies are from PBE.

```
ThZn3Pd
1.0
8.544 0.000 0.000
0.000 4.368 0.000
0.000 0.000 10.327
Th Zn Pd
4 12 4
direct
0.199 0.250 0.000 Th
0.301 0.750 0.500 Th
0.699 0.250 0.500 Th
0.801 0.750 0.000 Th
0.075 0.250 0.381 Zn
0.105 0.750 0.207 Zn
0.131 0.750 0.795 Zn
0.369 0.250 0.295 Zn
0.395 0.250 0.707 Zn
0.425 0.750 0.881 Zn
0.575 0.250 0.119 Zn
0.605 0.750 0.293 Zn
0.631 0.750 0.705 Zn
0.869 0.250 0.205 Zn
0.895 0.250 0.793 Zn
0.925 0.750 0.619 Zn
0.111 0.250 0.631 Pd
0.389 0.750 0.131 Pd
0.611 0.250 0.869 Pd
0.889 0.750 0.369 Pd
```

Results
Spin magnetization ... 0.0 μB/cell
Crystal system ... orthorhombic
E_form ... -1.88 eV per formula unit
ρ ... 9.2 Mg/m³
Volume ... 19.3 Å³/atom
SG ... Pnma

***

Entry 18:
Here is crystalline ThZn2Pd2 at its relaxed geometry from Alexandria via LeMat-Bulk. Energies are from PBE.

```
ThZn2Pd2
1.0
9.953 0.000 0.000
0.000 4.365 0.000
-1.922 0.000 4.501
Th Zn Pd
2 4 4
direct
0.000 0.000 0.000 Th
0.500 0.500 0.000 Th
0.136 0.500 0.589 Zn
0.364 0.000 0.411 Zn
0.636 0.000 0.589 Zn
0.864 0.500 0.411 Zn
0.228 0.500 0.170 Pd
0.272 0.000 0.830 Pd
0.728 0.000 0.170 Pd
0.772 0.500 0.830 Pd
```

Results
Offset from the most stable computed form ... 40.1 meV/atom
Spin magnetization ... 0.0 μB/cell
Crystal system ... monoclinic
E_form ... -2.79 eV per formula unit
ρ ... 9.8 Mg/m³
Volume ... 19.6 Å³/atom
SG ... C2/m

***

Entry 19:
Here is crystalline ThZn6Pd12 at its relaxed geometry from Alexandria via LeMat-Bulk. Energies are from PBE.

```
ThZn6Pd12
1.0
5.425 3.132 3.240
-5.425 3.132 3.240
0.000 -6.265 3.240
Th Zn Pd
1 6 12
direct
0.000 0.000 0.000 Th
0.178 0.264 0.474 Zn
0.264 0.474 0.178 Zn
0.474 0.178 0.264 Zn
0.526 0.822 0.736 Zn
0.736 0.526 0.822 Zn
0.822 0.736 0.526 Zn
0.004 0.329 0.843 Pd
0.157 0.996 0.671 Pd
0.178 0.625 0.521 Pd
0.329 0.843 0.004 Pd
0.375 0.479 0.822 Pd
0.479 0.822 0.375 Pd
0.521 0.178 0.625 Pd
0.625 0.521 0.178 Pd
0.671 0.157 0.996 Pd
0.822 0.375 0.479 Pd
0.843 0.004 0.329 Pd
0.996 0.671 0.157 Pd
```

Results
Spin magnetization ... 0.0 μB/cell
Crystal system ... trigonal
E_form ... -5.40 eV per formula unit
ρ ... 9.6 Mg/m³
Volume ... 17.4 Å³/atom
SG ... R-3

***

Entry 20:
Here is crystalline ThZn2Pd6 at its relaxed geometry from Alexandria via LeMat-Bulk. Energies are from PBE.

```
ThZn2Pd6
1.0
-3.942 4.345 4.483
3.942 -4.345 4.483
3.942 4.345 -4.483
Th Zn Pd
2 4 12
direct
0.000 0.000 0.000 Th
0.500 0.500 0.000 Th
0.129 0.629 0.500 Zn
0.363 0.000 0.363 Zn
0.637 0.000 0.637 Zn
0.871 0.371 0.500 Zn
0.022 0.247 0.775 Pd
0.209 0.285 0.494 Pd
0.209 0.715 0.924 Pd
0.302 0.040 0.738 Pd
0.302 0.564 0.262 Pd
0.473 0.247 0.225 Pd
0.527 0.753 0.775 Pd
0.698 0.436 0.738 Pd
0.698 0.960 0.262 Pd
0.791 0.285 0.076 Pd
0.791 0.715 0.506 Pd
0.978 0.753 0.225 Pd
```

Results
Spin magnetization ... 0.0 μB/cell
Crystal system ... orthorhombic
E_form ... -4.69 eV per formula unit
ρ ... 10.8 Mg/m³
Volume ... 17.1 Å³/atom
SG ... Immm